1.
Here is a relaxed La6CdFe2 crystal from Alexandria via LeMat-Bulk. Energies are from PBE.

Unit cell a=9.8897 b=10.2588 c=10.4901 alpha=90.00 beta=90.00 gamma=90.00
Closest atoms and distances in Å follow each position.
Space group Immm (No. 71)
Symmetry-distinct sites (fractional):
La (0.0000, 0.2166, 0.2190)  1 Fe 2.89, 1 Cd 3.20
La (0.2007, 0.5000, 0.1855)  3 Fe 2.94-3.01
La (0.2058, 0.3152, 0.5000)  2 Fe 3.00
Cd (0.0000, 0.0000, 0.0000)  8 La 3.20-3.47
Cd (0.0000, 0.0000, 0.5000)  12 La 3.54-3.82
Fe (0.0000, 0.3873, 0.0000)  1 Fe 2.31
Fe (0.0000, 0.5000, 0.3925)  1 Fe 2.26

Computed properties:
- Density of states at the Fermi level: 43.67 states/eV/cell
- Energy relative to the elements: -0.034 eV/atom
- E: -5.30 eV per atom

=====

2.
Here is a relaxed Ta2TlIr crystal from Alexandria via LeMat-Bulk. Energies are from PBE.

Unit cell a=3.3969 b=3.3969 c=6.6108 alpha=90.00 beta=90.00 gamma=90.00
Closest atoms and distances in Å follow each position.
Space group P4/mmm (No. 123)
Symmetry-distinct sites (fractional):
Ta (0.0000, 0.0000, 0.2028)  1 Ta 2.68, 4 Ir 2.75
Tl (0.5000, 0.5000, 0.5000)  8 Ta 3.10, 2 Ir 3.31, 4 Tl 3.40
Ir (0.5000, 0.5000, 0.0000)  8 Ta 2.75

Computed properties:
- Density of states at the Fermi level: 4.05 states/eV/cell
- Energy relative to the lowest polymorph listed for this composition: 0.250 eV/atom
- Energy relative to the elements: 0.248 eV/atom
- E: -8.49 eV per atom

=====

3.
Here is a relaxed Dy2Er3Pt4 crystal from Alexandria via LeMat-Bulk. Energies are from PBE.

Unit cell a=7.5302 b=14.9793 c=7.6900 alpha=90.00 beta=90.00 gamma=90.00
Closest atoms and distances in Å follow each position.
Space group Cmce (No. 64)
Symmetry-distinct sites (fractional):
Dy (0.0000, 0.1036, 0.0977)  4 Pt 2.91-3.12
Er (0.0000, 0.0000, 0.5000)  4 Pt 2.71
Er (0.2500, 0.2065, 0.7500)  5 Pt 2.77-2.95
Pt (0.0000, 0.2021, 0.4545)  5 Er 2.81-3.05, 2 Dy 3.11-3.12
Pt (0.2500, 0.0218, 0.7500)  3 Er 2.71-2.77, 2 Dy 2.91

Computed properties:
- Density of states at the Fermi level: 26.99 states/eV/cell
- Energy relative to the lowest polymorph listed for this composition: 0.159 eV/atom
- Energy relative to the elements: -1.046 eV/atom
- E: -6.27 eV per atom

=====

Magnetization (Bohr magnetons per cell)
7.591; 0.000; 0.000